No. 1
A plane-wave DFT calculation with GGA-PBE was carried out for a geometry-optimized Ho4C2O structure.

Cell and atoms, written as extended XYZ:
```
7
Lattice="1.766 1.020 11.906 -1.766 1.020 11.906 0.000 -2.039 11.906" Properties=species:S:1:pos:R:3 pbc="T T T"
Ho 0.000 0.000 4.130
Ho 0.000 0.000 10.479
Ho 0.000 0.000 25.238
Ho 0.000 0.000 31.587
C 0.000 0.000 14.764
C 0.000 0.000 20.953
O 0.000 0.000 0.000
```

Values from the calculation:
Formation energy without anion corrections = -109.8 kJ per mole of atoms
Raw total energy = -7.10 eV/atom

No. 2
A plane-wave DFT calculation with GGA-PBE was carried out for a geometry-optimized NaLi3Os structure.

Cell and atoms, written as extended XYZ:
```
5
Lattice="4.871 0.000 0.000 0.000 4.871 0.000 0.000 0.000 4.871" Properties=species:S:1:pos:R:3 pbc="T T T"
Na 0.000 0.000 0.000
Li 0.000 2.436 2.436
Li 2.436 0.000 2.436
Li 2.436 2.436 0.000
Os 2.436 2.436 2.436
```

Values from the calculation:
Raw total energy = -2.84 eV/atom
DFT formation energy = 0.8227 eV per atom
E above lowest polymorph = 0.000 eV per atom

No. 3
A plane-wave DFT calculation with GGA-PBE was carried out for a geometry-optimized Ac7PdPt4 structure.

Cell and atoms, written as extended XYZ:
```
12
Lattice="7.261 -2.146 0.000 7.261 2.146 0.000 -3.143 0.000 12.798" Properties=species:S:1:pos:R:3 pbc="T T T"
Ac 0.000 0.000 0.000
Ac 0.497 0.000 10.983
Ac 3.046 0.000 5.469
Ac 6.633 0.000 3.643
Ac 6.959 0.000 7.564
Ac 10.625 0.000 1.814
Ac 11.114 0.000 8.872
Pd 1.398 0.000 2.787
Pt 1.774 0.000 8.222
Pt 5.282 0.000 0.867
Pt 5.598 0.000 10.495
Pt 12.469 0.000 5.929
```

Values from the calculation:
Raw total energy = -5.78 eV/atom
DFT formation energy = -0.9372 eV per atom

No. 4
A plane-wave DFT calculation with GGA-PBE was carried out for a geometry-optimized FeSb structure.

Cell and atoms, written as extended XYZ:
```
4
Lattice="3.164 0.000 0.000 0.000 3.181 0.000 -0.007 0.000 7.734" Properties=species:S:1:pos:R:3 pbc="T T T"
Fe 0.791 0.795 0.577
Fe 2.366 2.386 7.157
Sb 0.783 0.795 5.492
Sb 2.374 2.386 2.243
```

Values from the calculation:
Formation energy without anion corrections = 8.5 kJ per mole of atoms
Raw total energy = -6.20 eV/atom

No. 5
A plane-wave DFT calculation with GGA-PBE was carried out for a geometry-optimized BeCd3Ni structure.

Cell and atoms, written as extended XYZ:
```
5
Lattice="4.924 0.000 0.000 0.000 4.924 0.000 0.000 0.000 4.924" Properties=species:S:1:pos:R:3 pbc="T T T"
Be 0.000 0.000 0.000
Cd 0.000 2.462 2.462
Cd 2.462 0.000 2.462
Cd 2.462 2.462 0.000
Ni 2.462 2.462 2.462
```

Values from the calculation:
Raw total energy = -1.74 eV/atom
DFT formation energy = 0.7085 eV per atom
E above lowest polymorph = 0.084 eV per atom

No. 6
A plane-wave DFT calculation with GGA-PBE was carried out for a geometry-optimized Mn2NbBW structure.

Cell and atoms, written as extended XYZ:
```
5
Lattice="4.422 0.000 0.000 0.000 4.422 0.000 0.000 0.000 4.097" Properties=species:S:1:pos:R:3 pbc="T T T"
Mn 0.000 2.211 0.000
Mn 2.211 0.000 0.000
Nb 0.000 0.000 2.048
B 2.211 2.211 2.048
W 2.211 2.211 0.000
```

Values from the calculation:
Raw total energy = -8.05 eV/atom
DFT formation energy = 1.5595 eV per atom